# TbBe12 PBE-GGA optimized geometry
# V = 9.63 Å³ per atom
# Uncorrected energy = -3.8776 eV/atom
# Spin magnetization = 0.00 μB/atom
data_TbBe12
_chemical_formula_sum 'Tb1 Be12'
_space_group_name_H-M_alt 'P 1'
_space_group_IT_number 1
_space_group_name_Hall 'P 1'
_cell_length_a 5.848
_cell_length_b 5.848
_cell_length_c 5.848
_cell_angle_alpha 97.43
_cell_angle_beta 97.43
_cell_angle_gamma 137.86
loop_
_atom_site_label
_atom_site_fract_x
_atom_site_fract_y
_atom_site_fract_z
_atom_site_occupancy
Be1 0.000 0.500 0.000 1
Be2 0.358 0.000 0.358 1
Be3 0.264 0.500 0.764 1
Be4 0.736 0.500 0.236 1
Be5 0.000 0.000 0.500 1
Be6 0.500 0.736 0.236 1
Be7 0.000 0.642 0.642 1
Be8 0.642 0.000 0.642 1
Be9 0.500 0.500 0.500 1
Be10 0.000 0.358 0.358 1
Be11 0.500 0.000 0.000 1
Be12 0.500 0.264 0.764 1
Tb1 0.000 0.000 0.000 1


# TbBe PBE-GGA optimized geometry
# V = 29.81 Å³ per atom
# Uncorrected energy = -2.9610 eV/atom
# Spin magnetization = 0.11 μB/atom
data_TbBe
_chemical_formula_sum 'Tb1 Be1'
_space_group_name_H-M_alt 'P 1'
_space_group_IT_number 1
_space_group_name_Hall 'P 1'
_cell_length_a 4.385
_cell_length_b 4.385
_cell_length_c 4.385
_cell_angle_alpha 60.00
_cell_angle_beta 60.00
_cell_angle_gamma 60.00
loop_
_atom_site_label
_atom_site_fract_x
_atom_site_fract_y
_atom_site_fract_z
_atom_site_occupancy
Tb1 0.250 0.250 0.250 1
Be1 0.000 0.000 0.000 1


# TbThBe PBE-GGA optimized geometry
# V = 26.10 Å³ per atom
# Uncorrected energy = -4.9365 eV/atom
# Spin magnetization = 0.02 μB/atom
data_TbThBe
_chemical_formula_sum 'Tb1 Th1 Be1'
_space_group_name_H-M_alt 'P 1'
_space_group_IT_number 1
_space_group_name_Hall 'P 1'
_cell_length_a 4.802
_cell_length_b 4.802
_cell_length_c 4.802
_cell_angle_alpha 60.00
_cell_angle_beta 60.00
_cell_angle_gamma 60.00
loop_
_atom_site_label
_atom_site_fract_x
_atom_site_fract_y
_atom_site_fract_z
_atom_site_occupancy
Be1 0.000 0.000 0.000 1
Th1 0.750 0.750 0.750 1
Tb1 0.250 0.250 0.250 1


# TbTmBe PBE-GGA optimized geometry
# V = 24.79 Å³ per atom
# Uncorrected energy = -3.3245 eV/atom
# Spin magnetization = 0.00 μB/atom
data_TbTmBe
_chemical_formula_sum 'Tb1 Tm1 Be1'
_space_group_name_H-M_alt 'P 1'
_space_group_IT_number 1
_space_group_name_Hall 'P 1'
_cell_length_a 4.720
_cell_length_b 4.720
_cell_length_c 4.720
_cell_angle_alpha 60.00
_cell_angle_beta 60.00
_cell_angle_gamma 60.00
loop_
_atom_site_label
_atom_site_fract_x
_atom_site_fract_y
_atom_site_fract_z
_atom_site_occupancy
Be1 0.250 0.250 0.250 1
Tb1 0.750 0.750 0.750 1
Tm1 0.000 0.000 0.000 1


# TbUBe PBE-GGA optimized geometry
# V = 23.15 Å³ per atom
# Uncorrected energy = -5.7744 eV/atom
# Spin magnetization = 0.89 μB/atom
data_TbUBe
_chemical_formula_sum 'Tb1 U1 Be1'
_space_group_name_H-M_alt 'P 1'
_space_group_IT_number 1
_space_group_name_Hall 'P 1'
_cell_length_a 4.614
_cell_length_b 4.614
_cell_length_c 4.614
_cell_angle_alpha 60.00
_cell_angle_beta 60.00
_cell_angle_gamma 60.00
loop_
_atom_site_label
_atom_site_fract_x
_atom_site_fract_y
_atom_site_fract_z
_atom_site_occupancy
Tb1 0.250 0.250 0.250 1
Be1 0.000 0.000 0.000 1
U1 0.750 0.750 0.750 1


# Be2Tc PBE-GGA optimized geometry
# V = 9.79 Å³ per atom
# Uncorrected energy = -6.3427 eV/atom
# Spin magnetization = 0.00 μB/atom
data_Be2Tc
_chemical_formula_sum 'Be4 Tc2'
_space_group_name_H-M_alt 'P 1'
_space_group_IT_number 1
_space_group_name_Hall 'P 1'
_cell_length_a 4.364
_cell_length_b 4.364
_cell_length_c 4.364
_cell_angle_alpha 60.00
_cell_angle_beta 60.00
_cell_angle_gamma 60.00
loop_
_atom_site_label
_atom_site_fract_x
_atom_site_fract_y
_atom_site_fract_z
_atom_site_occupancy
Be1 0.125 0.625 0.625 1
Be2 0.625 0.625 0.625 1
Be3 0.625 0.625 0.125 1
Be4 0.625 0.125 0.625 1
Tc1 0.000 0.000 0.000 1
Tc2 0.250 0.250 0.250 1


Q: Look up the V of the second one.
A: 29.81 Å³ per atom


Q: The lowest uncorrected energy belongs to which entry?
A: Be2Tc